Entry 1:
Here is an optimized crystal structure of KLiRuO4 from the Alexandria database. Energies are from PBE-GGA.

Geometry as POSCAR:
```
KLiRuO4
1.0
5.746 0.000 0.164
0.000 5.964 0.000
-2.044 0.000 6.867
Ru Li O K
2 2 8 2
direct
0.268 0.750 0.331
0.732 0.250 0.669
0.145 0.250 0.476
0.855 0.750 0.524
0.371 0.750 0.117
0.629 0.250 0.883
0.503 0.750 0.549
0.053 0.977 0.312
0.947 0.023 0.688
0.053 0.523 0.312
0.497 0.250 0.451
0.947 0.477 0.688
0.737 0.750 0.953
0.263 0.250 0.047
```

Properties
As for the space group: P2_1/m (11). As for the uncorrected formation energy: -124.1 kJ/mol of atoms.

Entry 2:
Here is an optimized crystal structure of ZnCrCd3 from the Alexandria database. Energies are from PBE-GGA.

Geometry as POSCAR:
```
ZnCrCd3
1.0
5.372 0.000 0.000
0.000 5.372 0.000
0.000 0.000 5.372
Cd Cr Zn
3 1 1
direct
0.500 0.000 0.000
0.000 0.500 0.000
0.000 0.000 0.500
0.000 0.000 0.000
0.500 0.500 0.500
```

Properties
The density of states at the Fermi level comes out at 0.529 states/eV per atom. As for the space group: Pm-3m (221). The calculation puts the formation enthalpy at 0 K at 686 meV per atom.

Entry 3:
Here is an optimized crystal structure of CaNi2Cl from the Alexandria database. Energies are from PBE-GGA.

Geometry as POSCAR:
```
CaNi2Cl
1.0
-1.621 5.452 -2.327
-5.392 2.944 0.166
4.270 -3.004 3.243
Ca Ni Cl
1 2 1
direct
0.750 0.250 0.500
0.501 0.501 0.000
0.999 0.999 0.000
0.250 0.750 0.500
```

Properties
The density of states at the Fermi level comes out at 1.664 states/eV per atom. As for the space group: Immm (71). As for the uncorrected formation energy: -17.1 kJ/mol of atoms.

Entry 4:
Here is an optimized crystal structure of TlSiI3 from the Alexandria database. Energies are from PBE-GGA.

Geometry as POSCAR:
```
TlSiI3
1.0
-2.863 -5.092 -1.672
5.129 -2.054 -2.528
1.554 -2.603 5.266
I Si Tl
3 1 1
direct
0.000 0.500 0.000
0.500 0.000 0.000
0.000 0.000 0.500
0.500 0.500 0.500
0.000 0.000 0.000
```

Properties
The density of states at the Fermi level comes out at 0.804 states/eV per atom. As for the space group: Pm-3m (221). As for the uncorrected formation energy: 53.5 kJ/mol of atoms.

Entry 5:
Here is an optimized crystal structure of ScNi2Os from the Alexandria database. Energies are from PBE-GGA.

Geometry as POSCAR:
```
ScNi2Os
1.0
-2.993 1.458 1.790
-2.305 -2.048 -2.186
-2.358 -6.748 5.543
Sc Ni Os
2 4 2
direct
0.500 0.500 0.000
0.250 0.750 0.500
0.375 0.339 0.750
0.875 0.911 0.750
0.661 0.125 0.250
0.089 0.625 0.250
0.750 0.250 0.500
0.000 0.000 0.000
```

Properties
The density of states at the Fermi level comes out at 1.552 states/eV per atom. As for the space group: I-42d (122). The calculation puts the formation enthalpy at 0 K at 314 meV per atom.

Entry 6:
Here is an optimized crystal structure of Rb2PmDyO4 from the Alexandria database. Energies are from PBE-GGA.

Geometry as POSCAR:
```
Rb2PmDyO4
1.0
3.575 0.000 0.000
0.000 6.191 0.104
0.000 -2.168 6.547
O Pm Rb Dy
4 1 2 1
direct
0.000 0.267 0.822
0.500 0.219 0.177
0.000 0.733 0.178
0.500 0.781 0.823
0.500 0.500 0.000
0.500 0.000 0.500
0.000 0.500 0.500
0.000 0.000 0.000
```

Properties
The density of states at the Fermi level comes out at 0.000 states/eV per atom. As for the space group: P2/m (10). As for the uncorrected formation energy: -254.6 kJ/mol of atoms.

Entry 7:
Here is an optimized crystal structure of MgAl2V from the Alexandria database. Energies are from PBE-GGA.

Geometry as POSCAR:
```
MgAl2V
1.0
2.897 0.000 0.000
1.448 2.508 0.000
1.448 0.836 9.161
Al Mg V
2 1 1
direct
0.256 0.256 0.231
0.744 0.744 0.769
0.500 0.500 0.500
0.000 0.000 0.000
```

Properties
The density of states at the Fermi level comes out at 0.499 states/eV per atom. As for the space group: R-3m (166). The calculation puts the formation enthalpy at 0 K at -1 meV per atom.

Entry 8:
Here is an optimized crystal structure of Dy6Se3S2 from the Alexandria database. Energies are from PBE-GGA.

Geometry as POSCAR:
```
Dy6Se3S2
1.0
3.926 0.000 0.389
1.944 3.411 0.389
0.020 0.011 19.798
Se Dy S
3 6 2
direct
0.000 0.000 0.000
0.726 0.726 0.823
0.274 0.274 0.177
0.191 0.191 0.426
0.090 0.090 0.730
0.362 0.362 0.915
0.638 0.638 0.085
0.809 0.809 0.574
0.910 0.910 0.270
0.551 0.551 0.346
0.449 0.449 0.654
```

Properties
The density of states at the Fermi level comes out at 0.421 states/eV per atom. As for the space group: R-3m (166). As for the uncorrected formation energy: -161.1 kJ/mol of atoms.

no.,calculated total energy (eV per atom)
1,-5.875
2,-2.042
3,-4.030
4,-1.934
5,-6.967
6,-6.528
7,-4.550
8,-5.880